Compound: Er2FeGe2Rh5
Source: the Alexandria database
Functional: PBE
Structure: optimized geometry

The structure in POSCAR format:
```
Er2FeGe2Rh5
1.0
9.633 0.000 0.000
0.000 9.633 0.000
0.000 0.000 3.571
Er Fe Ge Rh
4 2 4 10
Direct
0.173 0.327 0.000 Er
0.327 0.827 0.000 Er
0.673 0.173 0.000 Er
0.827 0.673 0.000 Er
0.000 0.000 0.000 Fe
0.500 0.500 0.000 Fe
0.127 0.627 0.000 Ge
0.373 0.127 0.000 Ge
0.627 0.873 0.000 Ge
0.873 0.373 0.000 Ge
0.000 0.500 0.500 Rh
0.066 0.798 0.500 Rh
0.202 0.066 0.500 Rh
0.298 0.566 0.500 Rh
0.434 0.298 0.500 Rh
0.500 0.000 0.500 Rh
0.566 0.702 0.500 Rh
0.702 0.434 0.500 Rh
0.798 0.934 0.500 Rh
0.934 0.202 0.500 Rh
```

Summary:
- VASP energy (eV per formula unit) = -70.29
- E_form (kcal/mol of atoms) = -15.475

=====

Compound: ErFeGe2Ru
Source: the Alexandria database
Functional: PBE
Structure: optimized geometry

The structure in POSCAR format:
```
ErFeGe2Ru
1.0
-2.042 2.042 5.074
2.042 -2.042 5.074
2.042 2.042 -5.074
Er Fe Ge Ru
1 1 2 1
Direct
0.000 0.000 0.000 Er
0.750 0.250 0.500 Fe
0.375 0.375 0.000 Ge
0.625 0.625 0.000 Ge
0.250 0.750 0.500 Ru
```

Summary:
- VASP energy (eV per formula unit) = -34.13
- E_form (kcal/mol of atoms) = -11.984

=====

Compound: ErFe2SiGe2
Source: the Alexandria database
Functional: PBE
Structure: optimized geometry

The structure in POSCAR format:
```
ErFe2SiGe2
1.0
4.256 0.000 0.000
0.000 4.256 0.000
0.000 0.000 5.426
Er Fe Si Ge
1 2 1 2
Direct
0.000 0.000 0.000 Er
0.000 0.500 0.500 Fe
0.500 0.000 0.500 Fe
0.000 0.000 0.500 Si
0.500 0.500 0.236 Ge
0.500 0.500 0.764 Ge
```

Summary:
- VASP energy (eV per formula unit) = -37.21
- raw formation energy (eV per atom) = -0.1771

=====

Compound: ErFeTcGe3
Source: the Alexandria database
Functional: PBE
Structure: optimized geometry

The structure in POSCAR format:
```
ErFeTcGe3
1.0
3.873 -5.359 0.000
3.873 5.359 0.000
0.000 0.000 5.591
Er Fe Tc Ge
2 2 2 6
Direct
0.247 0.753 0.750 Er
0.753 0.247 0.250 Er
0.029 0.971 0.250 Fe
0.971 0.029 0.750 Fe
0.449 0.551 0.250 Tc
0.551 0.449 0.750 Tc
0.233 0.767 0.250 Ge
0.241 0.241 0.000 Ge
0.241 0.241 0.500 Ge
0.759 0.759 0.000 Ge
0.759 0.759 0.500 Ge
0.767 0.233 0.750 Ge
```

Summary:
- VASP energy (eV per formula unit) = -37.98
- E_form (kcal/mol of atoms) = -2.832

=====

Compound: ErFeTcGe2
Source: the Alexandria database
Functional: PBE
Structure: optimized geometry

The structure in POSCAR format:
```
ErFeTcGe2
1.0
-2.008 2.008 5.351
2.008 -2.008 5.351
2.008 2.008 -5.351
Er Fe Tc Ge
1 1 1 2
Direct
0.000 0.000 0.000 Er
0.750 0.250 0.500 Fe
0.250 0.750 0.500 Tc
0.382 0.382 0.000 Ge
0.618 0.618 0.000 Ge
```

Summary:
- VASP energy (eV per formula unit) = -34.77
- E_form (kcal/mol of atoms) = -9.882

=====

Compound: ErZnFeGe2
Source: the Alexandria database
Functional: PBE
Structure: optimized geometry

The structure in POSCAR format:
```
ErZnFeGe2
1.0
5.413 0.000 0.000
0.000 5.540 0.000
0.000 0.000 5.716
Er Zn Fe Ge
2 2 2 4
Direct
0.250 0.000 0.223 Er
0.750 0.000 0.777 Er
0.250 0.500 0.373 Zn
0.750 0.500 0.627 Zn
0.000 0.500 0.000 Fe
0.500 0.500 0.000 Fe
0.250 0.237 0.745 Ge
0.250 0.763 0.745 Ge
0.750 0.237 0.255 Ge
0.750 0.763 0.255 Ge
```

Summary:
- VASP energy (eV per formula unit) = -25.32
- E_form (kcal/mol of atoms) = -8.242

=====

Compound: ErFe3H6
Source: the Alexandria database
Functional: PBE
Structure: optimized geometry

The structure in POSCAR format:
```
ErFe3H6
1.0
2.192 1.266 4.824
-2.192 1.266 4.824
0.000 -2.531 4.824
Er Fe H
1 3 6
Direct
0.000 0.000 0.000 Er
0.185 0.185 0.185 Fe
0.465 0.465 0.465 Fe
0.796 0.796 0.796 Fe
0.045 0.558 0.545 H
0.204 0.587 0.825 H
0.545 0.045 0.558 H
0.558 0.545 0.045 H
0.587 0.825 0.204 H
0.825 0.204 0.587 H
```

Summary:
- VASP energy (eV per formula unit) = -51.55

=====

Compound: ErFe2H7
Source: the Alexandria database
Functional: PBE
Structure: optimized geometry

The structure in POSCAR format:
```
ErFe2H7
1.0
2.553 -3.997 0.000
2.553 3.997 0.000
0.000 0.000 3.433
Er Fe H
1 2 7
Direct
0.000 0.000 0.000 Er
0.299 0.701 0.500 Fe
0.701 0.299 0.500 Fe
0.056 0.328 0.500 H
0.299 0.701 0.000 H
0.328 0.056 0.500 H
0.500 0.500 0.500 H
0.672 0.944 0.500 H
0.701 0.299 0.000 H
0.944 0.672 0.500 H
```

Summary:
- VASP energy (eV per formula unit) = -46.51

=====

Compound: ErFeH6
Source: the Alexandria database
Functional: PBE
Structure: optimized geometry

The structure in POSCAR format:
```
ErFeH6
1.0
2.172 1.254 3.537
-2.172 1.254 3.537
0.000 -2.508 3.537
Er Fe H
1 1 6
Direct
0.000 0.000 0.000 Er
0.500 0.500 0.500 Fe
0.068 0.604 0.604 H
0.396 0.396 0.932 H
0.396 0.932 0.396 H
0.604 0.068 0.604 H
0.604 0.604 0.068 H
0.932 0.396 0.396 H
```

Summary:
- VASP energy (eV per formula unit) = -34.84

=====

Compound: Er2Fe17H3
Source: the Alexandria database
Functional: PBE
Structure: optimized geometry

The structure in POSCAR format:
```
Er2Fe17H3
1.0
8.501 0.000 0.000
-4.250 7.362 0.000
0.000 0.000 8.186
Er Fe H
4 34 6
Direct
0.000 0.000 0.250 Er
0.000 0.000 0.750 Er
0.333 0.667 0.250 Er
0.667 0.333 0.750 Er
0.000 0.500 0.000 Fe
0.000 0.500 0.500 Fe
0.047 0.376 0.750 Fe
0.047 0.671 0.750 Fe
0.167 0.333 0.016 Fe
0.167 0.333 0.484 Fe
0.167 0.833 0.016 Fe
0.167 0.833 0.484 Fe
0.329 0.376 0.750 Fe
0.329 0.953 0.750 Fe
0.333 0.167 0.516 Fe
0.333 0.167 0.984 Fe
0.333 0.667 0.605 Fe
0.333 0.667 0.895 Fe
0.376 0.047 0.250 Fe
0.376 0.329 0.250 Fe
0.500 0.000 0.000 Fe
0.500 0.000 0.500 Fe
0.500 0.500 0.000 Fe
0.500 0.500 0.500 Fe
0.624 0.671 0.750 Fe
0.624 0.953 0.750 Fe
0.667 0.333 0.105 Fe
0.667 0.333 0.395 Fe
0.667 0.833 0.016 Fe
0.667 0.833 0.484 Fe
0.671 0.047 0.250 Fe
0.671 0.624 0.250 Fe
0.833 0.167 0.516 Fe
0.833 0.167 0.984 Fe
0.833 0.667 0.516 Fe
0.833 0.667 0.984 Fe
0.953 0.329 0.250 Fe
0.953 0.624 0.250 Fe
0.165 0.329 0.250 H
0.165 0.835 0.250 H
0.329 0.165 0.750 H
0.671 0.835 0.250 H
0.835 0.165 0.750 H
0.835 0.671 0.750 H
```

Summary:
- VASP energy (eV per formula unit) = -164.67

=====

Compound: Er12Fe3H5
Source: the Alexandria database
Functional: PBE
Structure: optimized geometry

The structure in POSCAR format:
```
Er12Fe3H5
1.0
-7.366 7.366 7.366
7.366 -7.366 7.366
7.366 7.366 -7.366
Er Fe H
48 12 20
Direct
0.030 0.218 0.124 Er
0.030 0.312 0.906 Er
0.094 0.624 0.406 Er
0.094 0.718 0.688 Er
0.094 0.876 0.406 Er
0.094 0.970 0.688 Er
0.124 0.030 0.218 Er
0.124 0.594 0.906 Er
0.188 0.218 0.594 Er
0.188 0.470 0.594 Er
0.218 0.124 0.030 Er
0.218 0.594 0.188 Er
0.282 0.312 0.906 Er
0.282 0.470 0.376 Er
0.312 0.906 0.030 Er
0.312 0.906 0.282 Er
0.376 0.282 0.470 Er
0.376 0.594 0.906 Er
0.406 0.094 0.624 Er
0.406 0.094 0.876 Er
0.406 0.812 0.530 Er
0.406 0.812 0.782 Er
0.470 0.376 0.282 Er
0.470 0.594 0.188 Er
0.530 0.406 0.812 Er
0.530 0.624 0.718 Er
0.594 0.188 0.218 Er
0.594 0.188 0.470 Er
0.594 0.906 0.124 Er
0.594 0.906 0.376 Er
0.624 0.406 0.094 Er
0.624 0.718 0.530 Er
0.688 0.094 0.718 Er
0.688 0.094 0.970 Er
0.718 0.530 0.624 Er
0.718 0.688 0.094 Er
0.782 0.406 0.812 Er
0.782 0.876 0.970 Er
0.812 0.530 0.406 Er
0.812 0.782 0.406 Er
0.876 0.406 0.094 Er
0.876 0.970 0.782 Er
0.906 0.030 0.312 Er
0.906 0.124 0.594 Er
0.906 0.282 0.312 Er
0.906 0.376 0.594 Er
0.970 0.688 0.094 Er
0.970 0.782 0.876 Er
0.125 0.250 0.375 Fe
0.125 0.375 0.750 Fe
0.250 0.375 0.125 Fe
0.250 0.875 0.625 Fe
0.375 0.125 0.250 Fe
0.375 0.750 0.125 Fe
0.625 0.250 0.875 Fe
0.625 0.875 0.750 Fe
0.750 0.125 0.375 Fe
0.750 0.625 0.875 Fe
0.875 0.625 0.250 Fe
0.875 0.750 0.625 Fe
0.000 0.000 0.000 H
0.000 0.000 0.500 H
0.000 0.500 0.000 H
0.000 0.500 0.500 H
0.125 0.750 0.875 H
0.125 0.875 0.250 H
0.250 0.125 0.875 H
0.250 0.625 0.375 H
0.375 0.250 0.625 H
0.375 0.625 0.750 H
0.500 0.000 0.000 H
0.500 0.000 0.500 H
0.500 0.500 0.000 H
0.500 0.500 0.500 H
0.625 0.375 0.250 H
0.625 0.750 0.375 H
0.750 0.375 0.625 H
0.750 0.875 0.125 H
0.875 0.125 0.750 H
0.875 0.250 0.125 H
```

Summary:
- VASP energy (eV per formula unit) = -99.88

=====

Compound: ErFe2PH
Source: the Alexandria database
Functional: PBE
Structure: optimized geometry

The structure in POSCAR format:
```
ErFe2PH
1.0
1.764 -5.020 0.000
1.764 5.020 0.000
0.000 0.000 6.876
Er Fe P H
2 4 2 2
Direct
0.047 0.953 0.750 Er
0.953 0.047 0.250 Er
0.331 0.669 0.557 Fe
0.331 0.669 0.943 Fe
0.669 0.331 0.057 Fe
0.669 0.331 0.443 Fe
0.234 0.766 0.250 P
0.766 0.234 0.750 P
0.500 0.500 0.000 H
0.500 0.500 0.500 H
```

Summary:
- VASP energy (eV per formula unit) = -33.43

=====

Compound: ErHfFe10
Source: the Alexandria database
Functional: PBE
Structure: optimized geometry

The structure in POSCAR format:
```
ErHfFe10
1.0
3.952 0.000 0.000
0.000 4.900 0.000
0.000 0.000 8.456
Er Hf Fe
1 1 10
Direct
0.000 0.000 0.000 Er
0.000 0.500 0.500 Hf
0.000 0.000 0.338 Fe
0.000 0.000 0.662 Fe
0.000 0.500 0.172 Fe
0.000 0.500 0.828 Fe
0.500 0.000 0.500 Fe
0.500 0.253 0.255 Fe
0.500 0.253 0.745 Fe
0.500 0.500 0.000 Fe
0.500 0.747 0.255 Fe
0.500 0.747 0.745 Fe
```

Summary:
- VASP energy (eV per formula unit) = -100.06
- E_form (kcal/mol of atoms) = -1.755

=====

Compound: ErHfFe2
Source: the Alexandria database
Functional: PBE
Structure: optimized geometry

The structure in POSCAR format:
```
ErHfFe2
1.0
3.200 0.000 0.000
0.000 3.200 0.000
0.000 0.000 6.476
Er Hf Fe
1 1 2
Direct
0.000 0.000 0.000 Er
0.000 0.000 0.500 Hf
0.500 0.500 0.273 Fe
0.500 0.500 0.727 Fe
```

Summary:
- VASP energy (eV per formula unit) = -31.76
- E_form (kcal/mol of atoms) = -1.823

=====

Compound: Er2HfFe9
Source: the Alexandria database
Functional: PBE
Structure: optimized geometry

The structure in POSCAR format:
```
Er2HfFe9
1.0
2.489 1.437 8.067
-2.489 1.437 8.067
0.000 -2.874 8.067
Er Hf Fe
2 1 9
Direct
0.141 0.141 0.141 Er
0.859 0.859 0.859 Er
0.000 0.000 0.000 Hf
0.081 0.581 0.581 Fe
0.333 0.333 0.333 Fe
0.419 0.419 0.919 Fe
0.419 0.919 0.419 Fe
0.500 0.500 0.500 Fe
0.581 0.081 0.581 Fe
0.581 0.581 0.081 Fe
0.667 0.667 0.667 Fe
0.919 0.419 0.419 Fe
```

Summary:
- VASP energy (eV per formula unit) = -96.50
- E_form (kcal/mol of atoms) = -2.406

=====

Compound: LiErHfFe
Source: the Alexandria database
Functional: PBE
Structure: optimized geometry

The structure in POSCAR format:
```
LiErHfFe
1.0
0.000 3.281 3.281
3.281 0.000 3.281
3.281 3.281 0.000
Li Er Hf Fe
1 1 1 1
Direct
0.000 0.000 0.000 Li
0.250 0.250 0.250 Er
0.750 0.750 0.750 Hf
0.500 0.500 0.500 Fe
```

Summary:
- VASP energy (eV per formula unit) = -24.78
- E_form (kcal/mol of atoms) = 0.653

=====

Compound: ErHfFeNi
Source: the Alexandria database
Functional: PBE
Structure: optimized geometry

The structure in POSCAR format:
```
ErHfFeNi
1.0
0.000 3.229 3.229
3.229 0.000 3.229
3.229 3.229 0.000
Er Hf Fe Ni
1 1 1 1
Direct
0.000 0.000 0.000 Er
0.500 0.500 0.500 Hf
0.250 0.250 0.250 Fe
0.750 0.750 0.750 Ni
```

Summary:
- VASP energy (eV per formula unit) = -29.62
- E_form (kcal/mol of atoms) = -4.949